a | A relaxed NiGe3P crystal. Source: Alexandria via LeMat-Bulk, functional PBE.

The total magnetization comes out at 0.0 μB per formula unit.

The space group is Pm-3m (No. 221) and the conventional cell measures 4.682, 4.682 and 4.682 Å, with angles of 90.00, 90.00 and 90.00 degrees. The asymmetric unit holds Ni at (0.000, 0.000, 0.000), Ge at (0.000, 0.500, 0.500) and P at (0.500, 0.500, 0.500).


b | A relaxed NiGe3P crystal. Source: Alexandria via LeMat-Bulk, functional PBE.

The total magnetization comes out at 0.0 μB per formula unit.

The space group is Pm-3m (No. 221) and the conventional cell measures 4.559, 4.559 and 4.559 Å, with angles of 90.00, 90.00 and 90.00 degrees. The asymmetric unit holds Ni at (0.000, 0.000, 0.000), Ge at (0.000, 0.000, 0.500) and P at (0.500, 0.500, 0.500).


Stability summary: most stable b, least stable a.


a | A relaxed Pa2Ni2Ge3 crystal. Source: Alexandria via LeMat-Bulk, functional PBE.

The total magnetization comes out at 0.0 μB per formula unit.

The space group is Cmcm (No. 63) and the conventional cell measures 4.274, 17.923 and 6.556 Å, with angles of 90.00, 90.00 and 90.00 degrees. The asymmetric unit holds Pa at (0.000, 0.047, 0.250), Pa at (0.000, 0.162, 0.750), Ni at (0.000, 0.303, 0.552), Ge at (0.000, 0.215, 0.250) and Ge at (0.000, 0.432, 0.056).


b | A relaxed Pa2Ni2Ge3 crystal. Source: Alexandria via LeMat-Bulk, functional PBE.

The total magnetization comes out at 0.0 μB per formula unit.

The space group is Immm (No. 71) and the conventional cell measures 4.008, 4.608 and 15.328 Å, with angles of 90.00, 90.00 and 90.00 degrees. The asymmetric unit holds Pa at (0.000, 0.000, 0.150), Ni at (0.000, 0.500, 0.072), Ge at (0.000, 0.000, 0.343) and Ge at (0.000, 0.500, 0.500).


Stability summary: most stable a, least stable b.


a | A relaxed Pa2Ni5Ge3 crystal. Source: Alexandria via LeMat-Bulk, functional PBE.

The total magnetization comes out at 0.0 μB per formula unit.

The space group is Ibam (No. 72) and the conventional cell measures 10.151, 10.759 and 5.734 Å, with angles of 90.00, 90.00 and 90.00 degrees. The asymmetric unit holds Pa at (0.232, 0.125, 0.000), Ni at (0.000, 0.000, 0.250), Ni at (0.000, 0.269, 0.250), Ni at (0.156, 0.387, 0.000), Ge at (0.000, 0.500, 0.250) and Ge at (0.116, 0.135, 0.500).


b | A relaxed Pa2Ni5Ge3 crystal. Source: Alexandria via LeMat-Bulk, functional PBE.

The total magnetization comes out at 0.0 μB per formula unit.

The space group is Cmc2_1 (No. 36) and the conventional cell measures 4.090, 23.145 and 6.547 Å, with angles of 90.00, 90.00 and 90.00 degrees. The asymmetric unit holds Pa at (0.000, 0.013, 0.000), Pa at (0.000, 0.327, 0.057), Ni at (0.000, 0.106, 0.757), Ni at (0.000, 0.205, 0.884), Ni at (0.000, 0.221, 0.287), Ni at (0.000, 0.378, 0.509), Ni at (0.000, 0.448, 0.816), Ge at (0.000, 0.117, 0.258), Ge at (0.000, 0.275, 0.590) and Ge at (0.000, 0.446, 0.206).


Stability summary: most stable a, least stable b.